Entry 1:
Compound: Sc5Mn3
Source: Alexandria via LeMat-Bulk
Functional: PBE
Structure: relaxed

a = 7.9349 Å, b = 7.9349 Å, c = 5.7725 Å
α = 90.00°, β = 90.00°, γ = 120.00°
With the nearest neighbours (Å) after each atom.
Positions (direct):
Sc1 0.0000 0.2539 0.2500  3 Mn 2.75-2.78
Sc2 0.0000 0.7461 0.7500  3 Mn 2.75-2.78
Sc3 0.2539 0.0000 0.2500  3 Mn 2.75-2.78
Sc4 0.2539 0.2539 0.7500  3 Mn 2.75-2.78
Sc5 0.3333 0.6667 0.0000  6 Mn 2.82, 2 Sc 2.89
Sc6 0.3333 0.6667 0.5000  6 Mn 2.82, 2 Sc 2.89
Sc7 0.6667 0.3333 0.0000  6 Mn 2.82, 2 Sc 2.89
Sc8 0.6667 0.3333 0.5000  6 Mn 2.82, 2 Sc 2.89
Sc9 0.7461 0.0000 0.7500  3 Mn 2.75-2.78
Sc10 0.7461 0.7461 0.2500  3 Mn 2.75-2.78
Mn1 0.0000 0.3992 0.7500  7 Sc 2.75-2.82
Mn2 0.0000 0.6008 0.2500  7 Sc 2.75-2.82
Mn3 0.3992 0.0000 0.7500  7 Sc 2.75-2.82
Mn4 0.3992 0.3992 0.2500  7 Sc 2.75-2.82
Mn5 0.6008 0.0000 0.2500  7 Sc 2.75-2.82
Mn6 0.6008 0.6008 0.7500  7 Sc 2.75-2.82

Results
crystal system	hexagonal
relative energy among the computed polymorphs	29	meV per atom
E_tot	-7.30	eV/atom
space group	No. 193
density	4.111	Mg/m³
V	314.8	Å³ per cell
total magnetic moment	5.5	μB/f.u.

=====

Entry 2:
Compound: Sc6Mn7
Source: Alexandria via LeMat-Bulk
Functional: PBE
Structure: relaxed

a = 10.2172 Å, b = 10.2172 Å, c = 10.2172 Å
α = 27.63°, β = 27.63°, γ = 27.63°
With the nearest neighbours (Å) after each atom.
Positions (direct):
Sc1 0.0509 0.0509 0.0509  6 Mn 2.78, 2 Sc 2.90-3.00
Sc2 0.1495 0.1495 0.1495  12 Mn 2.86-2.93, 4 Sc 2.90-2.99
Sc3 0.3330 0.3330 0.3330  3 Sc 2.82, 3 Mn 3.15
Sc4 0.6670 0.6670 0.6670  3 Sc 2.82, 3 Mn 3.15
Sc5 0.8505 0.8505 0.8505  12 Mn 2.86-2.93, 4 Sc 2.90-2.99
Sc6 0.9491 0.9491 0.9491  6 Mn 2.78, 2 Sc 2.90-3.00
Mn1 0.0915 0.5987 0.5987  5 Mn 2.41-2.52
Mn2 0.4013 0.4013 0.9085  5 Mn 2.41-2.52
Mn3 0.4013 0.9085 0.4013  5 Mn 2.41-2.52
Mn4 0.5000 0.5000 0.5000  6 Mn 2.52
Mn5 0.5987 0.0915 0.5987  5 Mn 2.41-2.52
Mn6 0.5987 0.5987 0.0915  5 Mn 2.41-2.52
Mn7 0.9085 0.4013 0.4013  5 Mn 2.41-2.52

Results
crystal system	trigonal
E_tot	-7.84	eV/atom
space group	No. 166
density	5.364	Mg/m³
V	202.6	Å³ per cell
total magnetic moment	2.1	μB/f.u.

=====

Entry 3:
Compound: Sc7Mn
Source: Alexandria via LeMat-Bulk
Functional: PBE
Structure: relaxed

a = 6.3850 Å, b = 6.3850 Å, c = 6.3850 Å
α = 60.00°, β = 60.00°, γ = 60.00°
With the nearest neighbours (Å) after each atom.
Positions (direct):
Sc1 0.0000 0.0000 0.0000  12 Sc 3.19
Sc2 0.0000 0.0000 0.5000  2 Mn 3.19, 10 Sc 3.19
Sc3 0.0000 0.5000 0.0000  2 Mn 3.19, 10 Sc 3.19
Sc4 0.0000 0.5000 0.5000  2 Mn 3.19, 10 Sc 3.19
Sc5 0.5000 0.0000 0.0000  2 Mn 3.19, 10 Sc 3.19
Sc6 0.5000 0.0000 0.5000  2 Mn 3.19, 10 Sc 3.19
Sc7 0.5000 0.5000 0.0000  2 Mn 3.19, 10 Sc 3.19
Mn1 0.5000 0.5000 0.5000  12 Sc 3.19

Results
crystal system	cubic
E_tot	-6.56	eV/atom
space group	No. 225
density	3.335	Mg/m³
V	184.1	Å³ per cell
total magnetic moment	2.1	μB/f.u.

=====

Entry 4:
Compound: Sc2Mn3
Source: Alexandria via LeMat-Bulk
Functional: PBE
Structure: relaxed

a = 4.5085 Å, b = 4.5085 Å, c = 5.6175 Å
α = 90.00°, β = 90.00°, γ = 120.00°
With the nearest neighbours (Å) after each atom.
Positions (direct):
Sc1 0.3333 0.6667 0.3404  8 Mn 2.75-2.82
Sc2 0.6667 0.3333 0.6596  8 Mn 2.75-2.82
Mn1 0.0000 0.0000 0.5000  6 Sc 2.75
Mn2 0.3333 0.6667 0.8416  5 Sc 2.80-2.82
Mn3 0.6667 0.3333 0.1584  5 Sc 2.80-2.82

Results
crystal system	trigonal
relative energy among the computed polymorphs	665	meV per atom
E_tot	-7.38	eV/atom
space group	No. 164
density	4.278	Mg/m³
V	98.9	Å³ per cell
total magnetic moment	9.4	μB/f.u.

=====

Entry 5:
Compound: Sc2Mn3
Source: Alexandria via LeMat-Bulk
Functional: PBE
Structure: relaxed

a = 7.1957 Å, b = 5.2759 Å, c = 8.1019 Å
α = 60.81°, β = 39.80°, γ = 79.40°
With the nearest neighbours (Å) after each atom.
Positions (direct):
Sc1 0.2166 0.7834 0.3839  7 Mn 2.77-3.07
Sc2 0.6339 0.8661 0.4666  7 Mn 2.77-3.07
Sc3 0.7834 0.2166 0.6161  7 Mn 2.77-3.07
Sc4 0.8661 0.6339 0.0334  7 Mn 2.77-3.07
Mn1 0.2239 0.8023 0.0248  2 Mn 2.23-2.25
Mn2 0.2252 0.3009 0.0261  2 Mn 2.23-2.25
Mn3 0.2521 0.2521 0.7479  4 Mn 2.23-2.25
Mn4 0.3009 0.2252 0.4477  2 Mn 2.23-2.25
Mn5 0.5021 0.5021 0.9979  4 Mn 2.23-2.25
Mn6 0.8023 0.2239 0.9491  2 Mn 2.23-2.25

Results
crystal system	orthorhombic
relative energy among the computed polymorphs	0	meV per atom
E_tot	-8.04	eV/atom
space group	No. 43
density	5.237	Mg/m³
V	161.5	Å³ per cell
total magnetic moment	1.9	μB/f.u.

=====

Entry 6:
Compound: Sc3Mn4
Source: Alexandria via LeMat-Bulk
Functional: PBE
Structure: relaxed

a = 5.6422 Å, b = 5.6422 Å, c = 4.8865 Å
α = 90.00°, β = 90.00°, γ = 120.00°
With the nearest neighbours (Å) after each atom.
Positions (direct):
Sc1 0.0000 0.5000 0.0000  4 Sc 2.82, 8 Mn 2.94-3.08
Sc2 0.5000 0.0000 0.0000  4 Sc 2.82, 8 Mn 2.94-3.08
Sc3 0.5000 0.5000 0.0000  4 Sc 2.82, 8 Mn 2.94-3.08
Mn1 0.0000 0.0000 0.2516  2 Mn 2.43-2.46
Mn2 0.0000 0.0000 0.7484  2 Mn 2.43-2.46
Mn3 0.3333 0.6667 0.5000  6 Sc 2.94, 3 Mn 3.26
Mn4 0.6667 0.3333 0.5000  6 Sc 2.94, 3 Mn 3.26

Results
crystal system	hexagonal
relative energy among the computed polymorphs	602	meV per atom
E_tot	-7.32	eV/atom
space group	No. 191
density	4.371	Mg/m³
V	134.7	Å³ per cell
total magnetic moment	13.2	μB/f.u.

=====

Entry 7:
Compound: Sc4Mn
Source: Alexandria via LeMat-Bulk
Functional: PBE
Structure: relaxed

a = 5.3153 Å, b = 5.3153 Å, c = 5.3153 Å
α = 109.47°, β = 109.47°, γ = 109.47°
With the nearest neighbours (Å) after each atom.
Positions (direct):
Sc1 0.0000 0.0000 0.5000  2 Mn 2.66
Sc2 0.0000 0.5000 0.0000  2 Mn 2.66
Sc3 0.5000 0.0000 0.0000  2 Mn 2.66
Sc4 0.5000 0.5000 0.5000  2 Mn 2.66
Mn1 0.0000 0.0000 0.0000  8 Sc 2.66

Results
crystal system	cubic
relative energy among the computed polymorphs	314	meV per atom
E_tot	-6.44	eV/atom
space group	No. 229
density	3.372	Mg/m³
V	115.6	Å³ per cell
total magnetic moment	0.0	μB/f.u.

=====

Entry 8:
Compound: Sc4Mn
Source: Alexandria via LeMat-Bulk
Functional: PBE
Structure: relaxed

a = 5.3660 Å, b = 5.3660 Å, c = 5.3660 Å
α = 101.13°, β = 101.13°, γ = 127.87°
With the nearest neighbours (Å) after each atom.
Positions (direct):
Sc1 0.1156 0.6966 0.8122  3 Mn 2.94-3.23, 9 Sc 3.07-3.22
Sc2 0.3034 0.1156 0.4190  3 Mn 2.94-3.23, 9 Sc 3.07-3.22
Sc3 0.6966 0.8844 0.5810  3 Mn 2.94-3.23, 9 Sc 3.07-3.22
Sc4 0.8844 0.3034 0.1878  3 Mn 2.94-3.23, 9 Sc 3.07-3.22
Mn1 0.5000 0.5000 0.0000  12 Sc 2.94-3.23

Results
crystal system	tetragonal
relative energy among the computed polymorphs	0	meV per atom
E_tot	-6.75	eV/atom
space group	No. 87
density	3.558	Mg/m³
V	109.6	Å³ per cell
total magnetic moment	2.3	μB/f.u.

=====

Entry 9:
Compound: Sc4Mn
Source: Alexandria via LeMat-Bulk
Functional: PBE
Structure: relaxed

a = 8.4639 Å, b = 8.4639 Å, c = 8.4639 Å
α = 153.70°, β = 153.70°, γ = 37.53°
With the nearest neighbours (Å) after each atom.
Positions (direct):
Sc1 0.0877 0.0877 0.0000  1 Sc 2.81, 4 Mn 3.06
Sc2 0.2500 0.7500 0.5000  4 Sc 2.72
Sc3 0.7500 0.2500 0.5000  4 Sc 2.72
Sc4 0.9123 0.9123 0.0000  1 Sc 2.81, 4 Mn 3.06
Mn1 0.5000 0.5000 0.0000  8 Sc 3.06

Results
crystal system	tetragonal
relative energy among the computed polymorphs	394	meV per atom
E_tot	-6.36	eV/atom
space group	No. 139
density	3.280	Mg/m³
V	118.8	Å³ per cell
total magnetic moment	2.8	μB/f.u.

=====

Entry 10:
Compound: Sc4Mn5
Source: Alexandria via LeMat-Bulk
Functional: PBE
Structure: relaxed

a = 6.5251 Å, b = 6.5251 Å, c = 6.5251 Å
α = 95.49°, β = 95.49°, γ = 143.98°
With the nearest neighbours (Å) after each atom.
Positions (direct):
Sc1 0.0000 0.3004 0.3004  5 Mn 2.64-2.75
Sc2 0.0000 0.6996 0.6996  5 Mn 2.64-2.75
Sc3 0.3004 0.0000 0.3004  5 Mn 2.64-2.75
Sc4 0.6996 0.0000 0.6996  5 Mn 2.64-2.75
Mn1 0.0000 0.0000 0.0000  4 Sc 2.64, 8 Mn 2.78
Mn2 0.3462 0.3462 0.6925  4 Mn 2.70-2.78, 4 Sc 2.75
Mn3 0.3462 0.6538 0.0000  4 Mn 2.70-2.78, 4 Sc 2.75
Mn4 0.6538 0.3462 0.0000  4 Mn 2.70-2.78, 4 Sc 2.75
Mn5 0.6538 0.6538 0.3075  4 Mn 2.70-2.78, 4 Sc 2.75

Results
crystal system	tetragonal
relative energy among the computed polymorphs	0	meV per atom
E_tot	-7.76	eV/atom
space group	No. 139
density	4.857	Mg/m³
V	155.4	Å³ per cell
total magnetic moment	13.3	μB/f.u.

=====

Entry 11:
Compound: Sc2Mn3
Source: Alexandria via LeMat-Bulk
Functional: PBE
Structure: relaxed

a = 10.6630 Å, b = 10.6630 Å, c = 10.6630 Å
α = 15.71°, β = 15.71°, γ = 15.71°
With the nearest neighbours (Å) after each atom.
Positions (direct):
Sc1 0.0940 0.0940 0.0940  6 Mn 2.76-2.85, 6 Sc 2.92
Sc2 0.9060 0.9060 0.9060  6 Mn 2.76-2.85, 6 Sc 2.92
Mn1 0.3087 0.3087 0.3087  3 Mn 2.29
Mn2 0.5000 0.5000 0.5000  6 Sc 2.85, 6 Mn 2.92
Mn3 0.6913 0.6913 0.6913  3 Mn 2.29

Results
crystal system	trigonal
relative energy among the computed polymorphs	391	meV per atom
E_tot	-7.65	eV/atom
space group	No. 166
density	5.458	Mg/m³
V	77.5	Å³ per cell
total magnetic moment	2.3	μB/f.u.